Entry from Alexandria: an optimized crystal structure of SmTl3Sb3Se8 (PBE).

```
data_SmTl3Sb3Se8
_cell_length_a 8.3385
_cell_length_b 8.3385
_cell_length_c 22.5957
_cell_angle_alpha 90.00
_cell_angle_beta 90.00
_cell_angle_gamma 120.00
_space_group_name_H-M_alt 'R -3 m'
_space_group_IT_number 166
_space_group_name_Hall '-R 3 2"'
loop_
_atom_site_label
_atom_site_type_symbol
_atom_site_fract_x
_atom_site_fract_y
_atom_site_fract_z
Sm1 Sm 0.0000 0.0000 0.0000
Tl1 Tl 0.0000 0.5000 0.5000
Sb1 Sb 0.0000 0.5000 0.0000
Se1 Se 0.0000 0.0000 0.2608
Se2 Se 0.0081 0.5040 0.2614
```

Computed properties:
- magnetic moment (μB/f.u.) = 0.00
- E_form (uncorrected) (eV/atom) = -0.57
- E (eV per cell) = -181.919